No. 1
A plane-wave DFT calculation with PBE+U was carried out for a geometry-optimized Tl3V2CrO8 structure.

```
Tl3V2CrO8
1.0
5.789 0.000 0.000
-2.895 5.014 0.000
0.000 0.000 7.846
V Cr O Tl
2 1 8 3
direct
0.333 0.667 0.284 V
0.667 0.333 0.716 V
0.000 0.000 0.500 Cr
0.333 0.667 0.067 O
0.165 0.331 0.351 O
0.667 0.333 0.933 O
0.669 0.835 0.351 O
0.331 0.165 0.649 O
0.835 0.669 0.649 O
0.835 0.165 0.649 O
0.165 0.835 0.351 O
0.667 0.333 0.267 Tl
0.000 0.000 0.000 Tl
0.333 0.667 0.733 Tl
```

Calculated values
- size of the total moment (μB/f.u.) = 3.0
- Fermi-level density of states (states/eV/atom) = 0.000
- final energy (eV/atom) = -6.50

No. 2
A plane-wave DFT calculation with PBE+U was carried out for a geometry-optimized Tl2VCr2O6 structure.

```
Tl2VCr2O6
1.0
-0.295 -2.935 -4.347
4.136 3.163 0.695
1.813 -4.905 4.338
Cr V O Tl
2 1 6 2
direct
0.333 0.667 0.500 Cr
0.667 0.333 0.500 Cr
0.000 0.000 0.500 V
0.728 0.728 0.655 O
0.057 0.380 0.655 O
0.272 0.272 0.345 O
0.943 0.620 0.345 O
0.380 0.057 0.655 O
0.620 0.943 0.345 O
0.831 0.169 0.000 Tl
0.169 0.831 0.000 Tl
```

Calculated values
- size of the total moment (μB/f.u.) = 7.0
- final energy (eV/atom) = -6.75

No. 3
A plane-wave DFT calculation with PBE+U was carried out for a geometry-optimized Tl3CrW2O9 structure.

```
Tl3CrW2O9
1.0
-0.530 -0.327 -5.691
-4.110 -2.106 3.384
-3.241 6.233 -0.056
Tl Cr O W
3 1 9 2
direct
0.000 0.000 0.000 Tl
0.667 0.333 0.336 Tl
0.333 0.667 0.664 Tl
0.000 0.000 0.500 Cr
0.500 0.500 0.000 O
0.000 0.500 0.000 O
0.828 0.172 0.675 O
0.656 0.828 0.325 O
0.344 0.172 0.675 O
0.172 0.828 0.325 O
0.500 0.000 0.000 O
0.828 0.656 0.675 O
0.172 0.344 0.325 O
0.333 0.667 0.175 W
0.667 0.333 0.825 W
```

Calculated values
- size of the total moment (μB/f.u.) = 3.0
- final energy (eV/atom) = -6.43

No. 4
A plane-wave DFT calculation with PBE+U was carried out for a geometry-optimized Tl3Cr3WO8 structure.

```
Tl3Cr3WO8
1.0
-1.375 -5.944 -0.594
4.420 1.739 3.985
-7.189 1.392 2.719
O Tl Cr W
8 3 3 1
direct
0.789 0.579 0.355 O
0.709 0.417 0.636 O
0.206 0.929 0.648 O
0.277 0.071 0.352 O
0.723 0.929 0.648 O
0.291 0.583 0.364 O
0.794 0.071 0.352 O
0.211 0.421 0.645 O
0.500 0.500 0.000 Tl
0.000 0.000 0.000 Tl
0.000 0.500 0.000 Tl
0.000 0.500 0.500 Cr
0.500 0.000 0.500 Cr
0.500 0.500 0.500 Cr
0.000 0.000 0.500 W
```

Calculated values
- size of the total moment (μB/f.u.) = 10.0
- Fermi-level density of states (states/eV/atom) = 0.106
- final energy (eV/atom) = -6.61

No. 5
A plane-wave DFT calculation with PBE+U was carried out for a geometry-optimized TlCr2WO structure.

```
TlCr2WO
1.0
5.299 0.000 0.000
0.000 5.661 0.000
0.000 0.000 5.299
Cr Tl O W
2 1 1 1
direct
0.000 0.000 0.500 Cr
0.500 0.000 0.000 Cr
0.000 0.000 0.000 Tl
0.500 0.500 0.500 O
0.000 0.500 0.000 W
```

Calculated values
- size of the total moment (μB/f.u.) = 12.2
- Fermi-level density of states (states/eV/atom) = 0.674
- final energy (eV/atom) = -4.02

No. 6
A plane-wave DFT calculation with PBE+U was carried out for a geometry-optimized Tl2CrWO6 structure.

```
Tl2CrWO6
1.0
-2.620 0.621 4.994
-2.604 -4.429 2.407
2.183 -2.382 4.664
O Tl Cr W
6 2 1 1
direct
0.755 0.245 0.245 O
0.755 0.245 0.755 O
0.245 0.755 0.245 O
0.245 0.245 0.755 O
0.245 0.755 0.755 O
0.755 0.755 0.245 O
0.250 0.250 0.250 Tl
0.750 0.750 0.750 Tl
0.500 0.500 0.500 Cr
0.000 0.000 0.000 W
```

Calculated values
- size of the total moment (μB/f.u.) = 2.8
- Fermi-level density of states (states/eV/atom) = 0.271
- final energy (eV/atom) = -6.35

No. 7
A plane-wave DFT calculation with PBE+U was carried out for a geometry-optimized TlZnCrO4 structure.

```
TlZnCrO4
1.0
6.206 0.000 0.000
3.103 5.515 0.101
3.103 1.777 5.222
O Zn Tl Cr
8 2 2 2
direct
0.746 0.224 0.284 O
0.279 0.226 0.726 O
0.254 0.216 0.276 O
0.721 0.774 0.274 O
0.231 0.774 0.274 O
0.254 0.776 0.716 O
0.769 0.226 0.726 O
0.746 0.784 0.724 O
0.622 0.628 0.128 Zn
0.378 0.372 0.872 Zn
0.000 0.000 0.000 Tl
0.000 0.500 0.500 Tl
0.500 0.000 0.500 Cr
0.000 0.000 0.500 Cr
```

Calculated values
- size of the total moment (μB/f.u.) = 3.0
- final energy (eV/atom) = -5.71

No. 8
A plane-wave DFT calculation with PBE+U was carried out for a geometry-optimized Tl2ZnCrO4 structure.

```
Tl2ZnCrO4
1.0
5.218 0.000 0.000
2.609 6.301 0.000
2.609 0.000 9.615
Zn O Tl Cr
2 8 4 2
direct
0.500 0.000 0.000 Zn
0.250 0.500 0.500 Zn
0.840 0.651 0.607 O
0.197 0.151 0.893 O
0.508 0.651 0.393 O
0.242 0.849 0.107 O
0.910 0.849 0.893 O
0.553 0.349 0.607 O
0.652 0.151 0.107 O
0.098 0.349 0.393 O
0.922 0.500 0.156 Tl
0.172 0.000 0.656 Tl
0.578 0.500 0.844 Tl
0.828 0.000 0.344 Tl
0.750 0.500 0.500 Cr
0.000 0.000 0.000 Cr
```

Calculated values
- size of the total moment (μB/f.u.) = 2.0
- final energy (eV/atom) = -5.21

No. 9
A plane-wave DFT calculation with PBE+U was carried out for a geometry-optimized ZrTlCr2O8 structure.

```
ZrTlCr2O8
1.0
-1.285 4.903 2.204
-2.364 -0.021 4.996
7.166 0.479 3.612
O Cr Zr Tl
8 2 1 1
direct
0.701 0.208 0.820 O
0.208 0.701 0.820 O
0.792 0.299 0.180 O
0.299 0.792 0.180 O
0.684 0.684 0.414 O
0.212 0.212 0.911 O
0.316 0.316 0.586 O
0.788 0.788 0.089 O
0.643 0.643 0.219 Cr
0.357 0.357 0.781 Cr
0.000 0.000 0.000 Zr
0.000 0.000 0.500 Tl
```

Calculated values
- size of the total moment (μB/f.u.) = 1.0
- Fermi-level density of states (states/eV/atom) = 0.333
- final energy (eV/atom) = -7.16

No. 10
A plane-wave DFT calculation with PBE+U was carried out for a geometry-optimized ZrTlCrO6 structure.

```
ZrTlCrO6
1.0
-2.787 -2.498 3.833
1.810 -0.392 5.028
-1.890 4.271 1.185
Cr O Tl Zr
1 6 1 1
direct
0.322 0.322 0.500 Cr
0.607 0.054 0.298 O
0.013 0.362 0.271 O
0.336 0.647 0.265 O
0.362 0.012 0.729 O
0.646 0.337 0.735 O
0.054 0.607 0.702 O
0.001 0.001 0.000 Tl
0.658 0.658 0.500 Zr
```

Calculated values
- size of the total moment (μB/f.u.) = 1.0
- final energy (eV/atom) = -7.00

No. 11
A plane-wave DFT calculation with PBE+U was carried out for a geometry-optimized Tm3CrO6 structure.

```
Tm3CrO6
1.0
5.418 0.000 0.000
0.000 6.942 0.087
0.000 -1.464 6.786
O Tm Cr
12 6 2
direct
0.155 0.777 0.223 O
0.162 0.398 0.901 O
0.193 0.354 0.326 O
0.693 0.646 0.674 O
0.162 0.099 0.602 O
0.655 0.223 0.777 O
0.780 0.985 0.015 O
0.280 0.015 0.985 O
0.193 0.674 0.646 O
0.662 0.901 0.398 O
0.693 0.326 0.354 O
0.662 0.602 0.099 O
0.970 0.680 0.912 Tm
0.970 0.088 0.320 Tm
0.918 0.603 0.397 Tm
0.470 0.912 0.680 Tm
0.418 0.397 0.603 Tm
0.470 0.320 0.088 Tm
0.484 0.852 0.148 Cr
0.984 0.148 0.852 Cr
```

Calculated values
- size of the total moment (μB/f.u.) = 3.0
- Fermi-level density of states (states/eV/atom) = 0.000
- final energy (eV/atom) = -8.22

No. 12
A plane-wave DFT calculation with PBE+U was carried out for a geometry-optimized Tm3Cr5O12 structure.

```
Tm3Cr5O12
1.0
10.799 0.000 0.000
-3.600 10.181 0.000
-3.600 -5.091 8.817
Tm O Cr
12 48 20
direct
0.250 0.125 0.375 Tm
0.750 0.875 0.625 Tm
0.875 0.125 0.250 Tm
0.875 0.750 0.125 Tm
0.625 0.250 0.375 Tm
0.625 0.375 0.750 Tm
0.375 0.750 0.625 Tm
0.375 0.625 0.250 Tm
0.125 0.250 0.875 Tm
0.750 0.375 0.125 Tm
0.250 0.625 0.875 Tm
0.125 0.875 0.750 Tm
0.099 0.173 0.467 O
0.533 0.327 0.901 O
0.173 0.074 0.707 O
0.827 0.926 0.293 O
0.467 0.793 0.868 O
0.673 0.467 0.599 O
0.868 0.574 0.901 O
0.868 0.293 0.467 O
0.574 0.707 0.673 O
0.132 0.426 0.099 O
0.207 0.533 0.632 O
0.033 0.632 0.707 O
0.293 0.426 0.827 O
0.926 0.827 0.793 O
0.132 0.707 0.533 O
0.099 0.926 0.132 O
0.467 0.673 0.099 O
0.707 0.574 0.173 O
0.173 0.099 0.967 O
0.967 0.368 0.293 O
0.901 0.827 0.533 O
0.293 0.868 0.967 O
0.793 0.467 0.368 O
0.426 0.293 0.327 O
0.327 0.793 0.426 O
0.368 0.401 0.074 O
0.599 0.632 0.426 O
0.707 0.132 0.033 O
0.074 0.173 0.207 O
0.426 0.132 0.599 O
0.827 0.901 0.033 O
0.632 0.599 0.926 O
0.074 0.901 0.368 O
0.901 0.074 0.868 O
0.574 0.868 0.401 O
0.327 0.533 0.401 O
0.793 0.327 0.926 O
0.632 0.033 0.207 O
0.926 0.099 0.632 O
0.207 0.673 0.074 O
0.967 0.599 0.173 O
0.533 0.207 0.132 O
0.401 0.033 0.327 O
0.599 0.967 0.673 O
0.368 0.967 0.793 O
0.033 0.401 0.827 O
0.673 0.207 0.574 O
0.401 0.368 0.574 O
0.250 0.375 0.625 Cr
0.000 0.000 0.000 Cr
0.250 0.875 0.125 Cr
0.500 0.500 0.500 Cr
0.500 0.000 0.000 Cr
0.875 0.625 0.750 Cr
0.000 0.500 0.500 Cr
0.375 0.250 0.125 Cr
0.875 0.250 0.625 Cr
0.750 0.125 0.875 Cr
0.000 0.000 0.500 Cr
0.125 0.375 0.250 Cr
0.500 0.000 0.500 Cr
0.000 0.500 0.000 Cr
0.750 0.625 0.375 Cr
0.625 0.750 0.875 Cr
0.625 0.875 0.250 Cr
0.375 0.125 0.750 Cr
0.500 0.500 0.000 Cr
0.125 0.750 0.375 Cr
```

Calculated values
- size of the total moment (μB/f.u.) = 15.0
- final energy (eV/atom) = -7.97